Computed, not measured: NpIn2FeO8 after structural relaxation at the PBE with a Hubbard U level of DFT.

Output
Its crystal system is triclinic. For the magnetization, the calculation gives 0.246 μB per atom. The density comes out at 6.8 g/cm³. For the total DFT energy (no corrections), the calculation gives -0.5205 Ry/atom.

Geometry as CIF:
```
data_NpIn2FeO8
_space_group_name_H-M_alt 'P 1'
_space_group_IT_number 1
_space_group_name_Hall 'P 1'
_cell_length_a 4.924
_cell_length_b 4.918
_cell_length_c 6.586
_cell_angle_alpha 86.82
_cell_angle_beta 93.15
_cell_angle_gamma 93.51
loop_
_atom_site_label
_atom_site_type_symbol
_atom_site_fract_x
_atom_site_fract_y
_atom_site_fract_z
Np1 Np 0.000 0.000 0.000
O1 O 0.288 0.286 0.500
O2 O 0.168 0.829 0.745
O3 O 0.695 0.698 0.000
O4 O 0.806 0.197 0.786
O5 O 0.832 0.171 0.255
O6 O 0.194 0.803 0.214
O7 O 0.305 0.302 0.000
O8 O 0.712 0.714 0.500
Fe1 Fe 0.000 0.000 0.500
In1 In 0.476 0.524 0.735
In2 In 0.524 0.476 0.265
```